## CaMnSnO2 (PBE+U)

Data for a geometry-optimized CaMnSnO2 structure.

## Properties
Calculated total energy in eV for the cell shown: -25.00

Cell: 4.3618 4.3618 5.2018 Å, 90.00 90.00 90.00°
Space group P4/mmm (No. 123)
One atom of each set of equivalent atoms:
Ca (0.0000, 0.0000, 0.0000) [1 per cell]
Mn (0.5000, 0.5000, 0.0000) [1 per cell]
Sn (0.5000, 0.5000, 0.5000) [1 per cell]
O (0.0000, 0.5000, 0.5000) [2 per cell]